Entry from Alexandria: a relaxed CaY4Se6 crystal (PBE-GGA).

Cell lengths 4.0617, 7.0308, 20.9648 Å; angles 90.00, 90.00, 106.79 degrees
With the nearest neighbours (Å) after each atom.
Fractional positions:
Ca (0.6584, 0.3167, 0.2500)  6 Se 2.92-3.10
Ca (0.3416, 0.6833, 0.7500)  6 Se 2.92-3.10
Y (0.8611, 0.7221, 0.5399)  6 Se 2.87-2.94
Y (0.4085, 0.8171, 0.1299)  6 Se 2.82-2.99
Y (0.1389, 0.2779, 0.4601)  6 Se 2.87-2.94
Y (0.5915, 0.1829, 0.8701)  6 Se 2.82-2.99
Y (0.8611, 0.7221, 0.9601)  6 Se 2.87-2.94
Y (0.1389, 0.2779, 0.0399)  6 Se 2.87-2.94
Y (0.5915, 0.1829, 0.6299)  6 Se 2.82-2.99
Y (0.4085, 0.8171, 0.3701)  6 Se 2.82-2.99
Se (0.5000, 0.0000, 0.0000)  6 Y 2.88-2.99
Se (0.5000, 0.0000, 0.5000)  6 Y 2.88-2.99
Se (0.0481, 0.0962, 0.3361)  3 Y 2.86-2.87, 2 Ca 3.10
Se (0.9519, 0.9038, 0.6639)  3 Y 2.86-2.87, 2 Ca 3.10
Se (0.9519, 0.9038, 0.8361)  3 Y 2.86-2.87, 2 Ca 3.10
Se (0.0481, 0.0962, 0.1639)  3 Y 2.86-2.87, 2 Ca 3.10
Se (0.7706, 0.5412, 0.4124)  5 Y 2.87-2.94
Se (0.2294, 0.4588, 0.5876)  5 Y 2.87-2.94
Se (0.2294, 0.4588, 0.9124)  5 Y 2.87-2.94
Se (0.7706, 0.5412, 0.0876)  5 Y 2.87-2.94
Se (0.3142, 0.6284, 0.2500)  2 Y 2.82, 2 Ca 2.92
Se (0.6858, 0.3716, 0.7500)  2 Y 2.82, 2 Ca 2.92

Computed properties:
calculated total energy: -6.30 eV/atom
space group: Cmcm, No. 63